Below is a relaxed structure of YCrRe2, with properties calculated at the PBE level.

For the density, the calculation gives 12.2 g/cm3. The calculation puts the energy relative to the lowest polymorph listed for this composition at 350 meV/atom. The value obtained for the final energy is -9.637 eV/atom.

The structure belongs to space group P4/mmm (No. 123); the cell edges are 3.861, 3.861 and 4.688 Å and the angles 90.00°, 90.00° and 90.00°. The asymmetric unit holds Y at (0.000, 0.000, 0.000), Cr at (0.500, 0.500, 0.000) and Re at (0.000, 0.500, 0.500).